*P*
LaYH: relaxed, PBE.

Geometry as POSCAR:
```
LaYH
1.0
3.698 0.000 0.000
0.000 5.895 0.000
-3.695 0.000 6.360
La Y H
2 2 2
direct
0.000 0.009 0.000
0.000 0.991 0.500
0.339 0.496 0.339
0.339 0.504 0.839
0.673 0.281 0.671
0.673 0.719 0.171
```

Values from the calculation:
Symmetry: Pc, No. 7
DOS at the Fermi energy: 8.894 states/eV/cell



*Q*
LaYH: relaxed, PBE.

Geometry as POSCAR:
```
LaYH
1.0
3.689 0.000 0.000
-1.844 3.195 0.000
0.000 0.000 5.942
La Y H
1 1 1
direct
0.000 0.000 0.000
0.333 0.667 0.480
0.667 0.333 0.267
```

Values from the calculation:
Symmetry: P3m1, No. 156
DOS at the Fermi energy: 3.515 states/eV/cell



Most stable: *Q*